YErRuPb | the Alexandria database | PBE-GGA | relaxed; M_tot = 0.000 μB/atom; formation energy from the elements = -185 kJ/mol of formula units; mass density = 9735 kg/m³; space group = P4mm, No. 99
1.0
3.4209 0.0000 0.0000
0.0000 3.4209 0.0000
0.0000 0.0000 8.2268
Y Er Ru Pb
1 1 1 1
Direct
0.0000 0.0000 0.0000 Y
0.0000 0.0000 0.5967 Er
0.5000 0.5000 0.7928 Ru
0.5000 0.5000 0.3005 Pb

---

Cs2RbTeAu | the Alexandria database | PBE-GGA | relaxed; M_tot = 0.000 μB/atom; mass density = 4033 kg/m³; ΔE_f (raw) = -0.52 eV/atom; space group = P4/mmm, No. 123
1.0
6.6005 0.0000 0.0000
0.0000 6.6005 0.0000
0.0000 0.0000 6.3871
Cs Rb Te Au
2 1 1 1
Direct
0.0000 0.5000 0.0000 Cs
0.5000 0.0000 0.0000 Cs
0.0000 0.0000 0.5000 Rb
0.5000 0.5000 0.5000 Te
0.0000 0.0000 0.0000 Au

---

NbCrCo4 | the Alexandria database | PBE-GGA | relaxed; M_tot = 0.464 μB/atom; formation energy from the elements = 20 kJ/mol of formula units; mass density = 8778 kg/m³; space group = P-1, No. 2
1.0
4.4486 0.0000 0.0000
-1.5042 5.5639 0.0000
-0.0259 -2.4142 5.8184
Nb Cr Co
2 2 8
Direct
0.1358 0.1298 0.3586 Nb
0.8642 0.8702 0.6414 Nb
0.3863 0.3868 0.1091 Cr
0.6137 0.6132 0.8909 Cr
0.0355 0.3940 0.7977 Co
0.2329 0.8658 0.9505 Co
0.2887 0.6267 0.5362 Co
0.4622 0.1394 0.7146 Co
0.5378 0.8606 0.2854 Co
0.7113 0.3733 0.4638 Co
0.7671 0.1342 0.0495 Co
0.9645 0.6060 0.2023 Co

---

BeCdSN2 | the Alexandria database | PBE-GGA | relaxed; M_tot = 0.691 μB/atom; mass density = 3167 kg/m³; ΔE_f (raw) = 2.05 eV/atom; space group = P4/mmm, No. 123
1.0
4.0994 0.0000 0.0000
0.0000 4.0994 0.0000
0.0000 0.0000 5.6623
Be Cd S N
1 1 1 2
Direct
0.0000 0.0000 0.0000 Be
0.5000 0.5000 0.5000 Cd
0.5000 0.5000 0.0000 S
0.0000 0.5000 0.5000 N
0.5000 0.0000 0.5000 N

---

K2Tl6CdRh | the Alexandria database | PBE-GGA | relaxed; M_tot = 0.000 μB/atom; formation energy from the elements = -5 kJ/mol of formula units; mass density = 8029 kg/m³; space group = P-3m1, No. 164
1.0
7.7193 0.0000 0.0000
-3.8596 6.6851 0.0000
0.0000 0.0000 6.0912
K Tl Cd Rh
2 6 1 1
Direct
0.3333 0.6667 0.3067 K
0.6667 0.3333 0.6933 K
0.1890 0.3779 0.7999 Tl
0.1890 0.8110 0.7999 Tl
0.3779 0.1890 0.2001 Tl
0.6221 0.8110 0.7999 Tl
0.8110 0.1890 0.2001 Tl
0.8110 0.6221 0.2001 Tl
0.0000 0.0000 0.5000 Cd
0.0000 0.0000 0.0000 Rh

---

BaPtPb2 | the Alexandria database | PBE-GGA | relaxed; M_tot = 0.000 μB/atom; formation energy from the elements = -186 kJ/mol of formula units; mass density = 10069 kg/m³; space group = R-3m, No. 166
1.0
2.3505 1.3571 6.4350
-2.3505 1.3571 6.4350
0.0000 -2.7141 6.4350
Ba Pt Pb
1 1 2
Direct
0.0000 0.0000 0.0000 Ba
0.5000 0.5000 0.5000 Pt
0.2175 0.2175 0.2175 Pb
0.7825 0.7825 0.7825 Pb

---

PmAg2Hg2 | the Alexandria database | PBE-GGA | relaxed; M_tot = 0.000 μB/atom; formation energy from the elements = -111 kJ/mol of formula units; mass density = 11214 kg/m³; space group = P2_1/m, No. 11
1.0
5.8006 0.0000 0.0000
0.0000 5.0645 0.0000
-1.6577 0.0000 7.6806
Pm Ag Hg
2 4 4
Direct
0.2445 0.2500 0.2767 Pm
0.7555 0.7500 0.7233 Pm
0.3498 0.7500 0.9422 Ag
0.4248 0.2500 0.6921 Ag
0.5752 0.7500 0.3079 Ag
0.6502 0.2500 0.0578 Ag
0.0597 0.2500 0.8719 Hg
0.2016 0.7500 0.5306 Hg
0.7984 0.2500 0.4694 Hg
0.9403 0.7500 0.1281 Hg

---

Cr2AsPb | the Alexandria database | PBE-GGA | relaxed; M_tot = 1.741 μB/atom; formation energy from the elements = 181 kJ/mol of formula units; mass density = 8476 kg/m³; space group = I-4m2, No. 119
1.0
-1.9626 1.9626 4.9096
1.9626 -1.9626 4.9096
1.9626 1.9626 -4.9096
Cr As Pb
2 1 1
Direct
0.0000 0.0000 0.0000 Cr
0.7500 0.2500 0.5000 Cr
0.5000 0.5000 0.0000 As
0.2500 0.7500 0.5000 Pb

---

Pr4Sm3Er8 | the Alexandria database | PBE-GGA | relaxed; M_tot = 0.000 μB/atom; formation energy from the elements = 177 kJ/mol of formula units; mass density = 7797 kg/m³; space group = R-3m, No. 166
1.0
3.4928 2.0166 11.8567
-3.4928 2.0166 11.8567
0.0000 -4.0331 11.8567
Pr Sm Er
4 3 8
Direct
0.0000 0.0000 0.0000 Pr
0.1635 0.1635 0.1635 Pr
0.5000 0.5000 0.5000 Pr
0.8365 0.8365 0.8365 Pr
0.0000 0.5000 0.5000 Sm
0.5000 0.0000 0.5000 Sm
0.5000 0.5000 0.0000 Sm
0.2500 0.2500 0.7480 Er
0.2500 0.7480 0.2500 Er
0.2520 0.7500 0.7500 Er
0.2549 0.2549 0.2549 Er
0.7451 0.7451 0.7451 Er
0.7480 0.2500 0.2500 Er
0.7500 0.2520 0.7500 Er
0.7500 0.7500 0.2520 Er

---

DyHoTlZn | the Alexandria database | PBE-GGA | relaxed; M_tot = 0.000 μB/atom; formation energy from the elements = -124 kJ/mol of formula units; mass density = 9896 kg/m³; space group = F-43m, No. 216
1.0
0.0000 3.6867 3.6867
3.6867 0.0000 3.6867
3.6867 3.6867 0.0000
Dy Ho Tl Zn
1 1 1 1
Direct
0.0000 0.0000 0.0000 Dy
0.5000 0.5000 0.5000 Ho
0.2500 0.2500 0.2500 Tl
0.7500 0.7500 0.7500 Zn

---

Pa3Tl3WN8 | the Alexandria database | PBE-GGA | relaxed; M_tot = 0.000 μB/atom; mass density = 9678 kg/m³; ΔE_f (raw) = -0.72 eV/atom; space group = R-3m, No. 166
1.0
3.4625 1.9991 6.6191
-3.4625 1.9991 6.6191
0.0000 -3.9981 6.6191
Pa Tl W N
3 3 1 8
Direct
0.0000 0.5000 0.5000 Pa
0.5000 0.0000 0.5000 Pa
0.5000 0.5000 0.0000 Pa
0.0000 0.0000 0.5000 Tl
0.0000 0.5000 0.0000 Tl
0.5000 0.0000 0.0000 Tl
0.0000 0.0000 0.0000 W
0.2044 0.2044 0.7442 N
0.2044 0.7442 0.2044 N
0.2558 0.7956 0.7956 N
0.2823 0.2823 0.2823 N
0.7177 0.7177 0.7177 N
0.7442 0.2044 0.2044 N
0.7956 0.2558 0.7956 N
0.7956 0.7956 0.2558 N

---

GaAg2Sn2 | the Alexandria database | PBE-GGA | relaxed; M_tot = 0.000 μB/atom; formation energy from the elements = 70 kJ/mol of formula units; mass density = 7526 kg/m³; space group = P4/mbm, No. 127
1.0
8.5568 0.0000 0.0000
0.0000 8.5568 0.0000
0.0000 0.0000 3.1512
Ga Ag Sn
2 4 4
Direct
0.0000 0.0000 0.0000 Ga
0.5000 0.5000 0.0000 Ga
0.1269 0.3731 0.5000 Ag
0.3731 0.8731 0.5000 Ag
0.6269 0.1269 0.5000 Ag
0.8731 0.6269 0.5000 Ag
0.1689 0.6689 0.0000 Sn
0.3311 0.1689 0.0000 Sn
0.6689 0.8311 0.0000 Sn
0.8311 0.3311 0.0000 Sn

---

Tb2CeScP4 | the Alexandria database | PBE-GGA | relaxed; M_tot = 0.034 μB/atom; formation energy from the elements = -1183 kJ/mol of formula units; mass density = 5855 kg/m³; space group = P2/m, No. 10
1.0
6.8642 0.0000 0.0000
0.0000 3.9835 0.0000
-2.2885 0.0000 6.5020
Tb Ce Sc P
2 1 1 4
Direct
0.0000 0.0000 0.0000 Tb
0.5000 0.5000 0.0000 Tb
0.0000 0.5000 0.5000 Ce
0.5000 0.0000 0.5000 Sc
0.2560 0.0000 0.7451 P
0.2601 0.5000 0.2610 P
0.7399 0.5000 0.7390 P
0.7440 0.0000 0.2549 P

---

Li2AlW | the Alexandria database | PBE-GGA | relaxed; M_tot = 0.000 μB/atom; formation energy from the elements = 83 kJ/mol of formula units; mass density = 5981 kg/m³; space group = P2/m, No. 10
1.0
2.6350 0.0000 0.0000
0.0000 4.8976 0.0000
-0.1841 0.0000 4.8344
Li Al W
2 1 1
Direct
0.1929 0.0000 0.2305 Li
0.8071 0.0000 0.7695 Li
0.0000 0.5000 0.5000 Al
0.5000 0.5000 0.0000 W

---

SrLiPmSn | the Alexandria database | PBE-GGA | relaxed; M_tot = 0.000 μB/atom; formation energy from the elements = -147 kJ/mol of formula units; mass density = 5004 kg/m³; space group = F-43m, No. 216
1.0
0.0000 3.9027 3.9027
3.9027 0.0000 3.9027
3.9027 3.9027 0.0000
Sr Li Pm Sn
1 1 1 1
Direct
0.0000 0.0000 0.0000 Sr
0.7500 0.7500 0.7500 Li
0.5000 0.5000 0.5000 Pm
0.2500 0.2500 0.2500 Sn

---

NaTbPbBr6 | the Alexandria database | PBE-GGA | relaxed; M_tot = 0.000 μB/atom; mass density = 4625 kg/m³; ΔE_f (raw) = -1.47 eV/atom; space group = P-31c, No. 163
1.0
7.4032 0.0000 0.0000
-3.7016 6.4114 0.0000
0.0000 0.0000 13.1399
Na Tb Pb Br
2 2 2 12
Direct
0.3333 0.6667 0.2500 Na
0.6667 0.3333 0.7500 Na
0.3333 0.6667 0.7500 Tb
0.6667 0.3333 0.2500 Tb
0.0000 0.0000 0.0000 Pb
0.0000 0.0000 0.5000 Pb
0.0161 0.3559 0.6274 Br
0.0161 0.6603 0.8726 Br
0.3397 0.3559 0.8726 Br
0.3397 0.9839 0.6274 Br
0.3559 0.0161 0.1274 Br
0.3559 0.3397 0.3726 Br
0.6441 0.6603 0.6274 Br
0.6441 0.9839 0.8726 Br
0.6603 0.0161 0.3726 Br
0.6603 0.6441 0.1274 Br
0.9839 0.3397 0.1274 Br
0.9839 0.6441 0.3726 Br

---

K2YAg | the Alexandria database | PBE-GGA | relaxed; M_tot = 0.190 μB/atom; formation energy from the elements = 156 kJ/mol of formula units; mass density = 3239 kg/m³; space group = I4/mmm, No. 139
1.0
-2.3269 2.3269 6.5085
2.3269 -2.3269 6.5085
2.3269 2.3269 -6.5085
K Y Ag
2 1 1
Direct
0.2500 0.7500 0.5000 K
0.7500 0.2500 0.5000 K
0.0000 0.0000 0.0000 Y
0.5000 0.5000 0.0000 Ag

---

InMo2Cl | the Alexandria database | PBE-GGA | relaxed; M_tot = 0.480 μB/atom; mass density = 8132 kg/m³; ΔE_f (raw) = 0.97 eV/atom; space group = Fm-3m, No. 225
1.0
0.0000 3.2690 3.2690
3.2690 0.0000 3.2690
3.2690 3.2690 0.0000
In Mo Cl
1 2 1
Direct
0.0000 0.0000 0.0000 In
0.2500 0.2500 0.2500 Mo
0.7500 0.7500 0.7500 Mo
0.5000 0.5000 0.5000 Cl

---

Al2Cr | the Alexandria database | PBE-GGA | relaxed; M_tot = 1.028 μB/atom; formation energy from the elements = 25 kJ/mol of formula units; mass density = 3816 kg/m³; space group = P-62m, No. 189
1.0
7.3552 0.0000 0.0000
-3.6776 6.3698 0.0000
0.0000 0.0000 2.9527
Al Cr
6 3
Direct
0.0000 0.2905 0.0000 Al
0.0000 0.6295 0.5000 Al
0.2905 0.0000 0.0000 Al
0.3705 0.3705 0.5000 Al
0.6295 0.0000 0.5000 Al
0.7095 0.7095 0.0000 Al
0.0000 0.0000 0.5000 Cr
0.3333 0.6667 0.0000 Cr
0.6667 0.3333 0.0000 Cr

---

Ba2Zn3InAu12 | the Alexandria database | PBE-GGA | relaxed; M_tot = 0.000 μB/atom; formation energy from the elements = -417 kJ/mol of formula units; mass density = 11577 kg/m³; space group = R-3m, No. 166
1.0
3.5770 2.0652 9.5443
-3.5770 2.0652 9.5443
0.0000 -4.1304 9.5443
Ba Zn In Au
2 3 1 12
Direct
0.1499 0.1499 0.1499 Ba
0.8501 0.8501 0.8501 Ba
0.0000 0.5000 0.5000 Zn
0.5000 0.0000 0.5000 Zn
0.5000 0.5000 0.0000 Zn
0.5000 0.5000 0.5000 In
0.0898 0.0898 0.6893 Au
0.0898 0.6893 0.0898 Au
0.1390 0.5717 0.5717 Au
0.3107 0.9102 0.9102 Au
0.4283 0.4283 0.8610 Au
0.4283 0.8610 0.4283 Au
0.5717 0.1390 0.5717 Au
0.5717 0.5717 0.1390 Au
0.6893 0.0898 0.0898 Au
0.8610 0.4283 0.4283 Au
0.9102 0.3107 0.9102 Au
0.9102 0.9102 0.3107 Au